NdSn3Rh3: relaxed, PBE-GGA.

**Energy**: -5.996 eV/atom
**Energy above the lowest structure with this stoichiometry**: 0 meV/atom
**Energy of formation**: -448.3 meV/atom
**M_tot**: 0.00 μB per cell

Cell lengths 8.1882, 8.1882, 7.1657 Å; angles 55.16, 55.16, 60.00 degrees
Last column: nearest neighbours and their distance in Å.
Fractional coordinates of all 14 atoms:
Rh 0.3925 0.0558 0.8241  4 Sn 2.66-2.77, 2 Nd 2.86-2.92
Sn 0.5925 0.1939 0.3329  4 Rh 2.66-2.77
Rh 0.0558 0.7275 0.8241  4 Sn 2.66-2.77, 2 Nd 2.86-2.92
Rh 0.6075 0.9442 0.1759  4 Sn 2.66-2.77, 2 Nd 2.86-2.92
Rh 0.9442 0.2725 0.1759  4 Sn 2.66-2.77, 2 Nd 2.86-2.92
Nd 0.6689 0.6689 0.9934  6 Rh 2.86-2.92
Rh 0.2725 0.6075 0.1759  4 Sn 2.66-2.77, 2 Nd 2.86-2.92
Sn 0.1939 0.8807 0.3329  4 Rh 2.66-2.77
Sn 0.8061 0.1193 0.6671  4 Rh 2.66-2.77
Rh 0.7275 0.3925 0.8241  4 Sn 2.66-2.77, 2 Nd 2.86-2.92
Nd 0.3311 0.3311 0.0066  6 Rh 2.86-2.92
Sn 0.1193 0.4075 0.6671  4 Rh 2.66-2.77
Sn 0.8807 0.5925 0.3329  4 Rh 2.66-2.77
Sn 0.4075 0.8061 0.6671  4 Rh 2.66-2.77